Material: Li3InPt
Method: DFT, PBE
State: optimized geometry

a b c (Å): 3.844 3.845 7.369
angles (deg): 75.30 75.30 89.97
Atoms (fractional coordinates):
1 Li 0.623 0.928 0.455
2 Pt 0.996 0.800 0.715
3 Li 0.124 0.427 0.455
4 In 0.453 0.257 0.803
5 Li 0.811 0.614 0.083

Formation energy from the elements, eV per atom: -0.270
N(E_F), states/eV per cell: 1.9
E, eV per atom: -3.174
Magnetization, μB per atom: 0.00
Space-group type: Cm, No. 8
Polymorph energy (0 for the lowest one), eV/atom: 0.184

***

Material: KCo2NiBr8
Method: DFT, PBE
State: optimized geometry

a b c (Å): 6.542 6.542 10.479
angles (deg): 71.81 71.81 60.00
Each line ends with the local moment (μB).
Atoms (fractional coordinates):
1 Br 0.058 0.367 0.845  0.24
2 Br 0.367 0.730 0.845  0.24
3 Br 0.942 0.633 0.155  0.24
4 Co 0.742 0.742 0.773  2.49
5 Ni 0.000 0.000 0.000  1.39
6 Br 0.730 0.058 0.845  0.24
7 Br 0.270 0.942 0.155  0.24
8 Br 0.178 0.178 0.466  0.21
9 Co 0.258 0.258 0.227  2.49
10 Br 0.633 0.270 0.155  0.24
11 K 0.500 0.500 0.500  0.00
12 Br 0.822 0.822 0.534  0.21

N(E_F), states/eV per cell: 12.4
E_form (uncorrected), meV per atom: -493
E, eV per atom: -3.366
Magnetization, μB per atom: 0.75
Space-group type: R-3, No. 148

***

Material: Li3PbF
Method: DFT, PBE
State: optimized geometry

a b c (Å): 4.264 4.264 4.264
angles (deg): 90.00 90.00 90.00
Atoms (fractional coordinates):
1 Li 0.000 0.000 0.500
2 Pb 0.500 0.500 0.500
3 F 0.000 0.000 0.000
4 Li 0.500 0.000 0.000
5 Li 0.000 0.500 0.000

N(E_F), states/eV per cell: 1.3
E_form (uncorrected), meV per atom: -1219
E, eV per atom: -3.483
Magnetization, μB per atom: 0.00
Space-group type: Pm-3m, No. 221
Polymorph energy (0 for the lowest one), eV/atom: 0.000

***

Material: InAgW2
Method: DFT, PBE
State: optimized geometry

a b c (Å): 10.065 10.065 10.065
angles (deg): 16.45 16.45 16.45
Atoms (fractional coordinates):
1 W 0.251 0.251 0.251
2 Ag 0.502 0.502 0.502
3 W 0.998 0.998 0.998
4 In 0.748 0.748 0.748

Formation energy from the elements, eV per atom: 0.516
N(E_F), states/eV per cell: 2.1
E, eV per atom: -7.358
Magnetization, μB per atom: 0.00
Space-group type: R3m, No. 160

***

Material: YCoIr2
Method: DFT, PBE
State: optimized geometry

a b c (Å): 4.561 4.561 4.561
angles (deg): 60.00 60.00 60.00
Each line ends with the local moment (μB).
Atoms (fractional coordinates):
1 Y 0.500 0.500 0.500  0.00
2 Ir 0.250 0.250 0.250  0.46
3 Co 0.000 0.000 0.000  2.09
4 Ir 0.750 0.750 0.750  0.46

Formation energy from the elements, eV per atom: 0.001
N(E_F), states/eV per cell: 7.5
E, eV per atom: -7.822
Magnetization, μB per atom: 0.74
Space-group type: Fm-3m, No. 225
Polymorph energy (0 for the lowest one), eV/atom: 0.187

***

Material: V2CuHgAs
Method: DFT, PBE
State: optimized geometry

a b c (Å): 4.670 4.724 4.670
angles (deg): 90.00 90.00 90.00
Each line ends with the local moment (μB).
Atoms (fractional coordinates):
1 V 0.500 0.000 0.000  2.27
2 Hg 0.000 0.500 0.000  -0.04
3 Cu 0.000 0.000 0.000  0.10
4 As 0.500 0.500 0.500  -0.19
5 V 0.000 0.000 0.500  2.17

Formation energy from the elements, eV per atom: 0.994
N(E_F), states/eV per cell: 8.1
E, eV per atom: -4.463
Magnetization, μB per atom: 0.98
Space-group type: P4/mmm, No. 123

***

Material: Na5B7C3
Method: DFT, PBE
State: optimized geometry

a b c (Å): 12.902 12.902 8.562
angles (deg): 90.00 90.00 167.38
Atoms (fractional coordinates):
1 C 0.671 0.329 0.750
2 C 0.463 0.537 0.750
3 Na 0.999 0.001 0.998
4 B 0.334 0.666 0.750
5 B 0.737 0.263 0.750
6 Na 0.400 0.600 0.500
7 Na 0.200 0.800 0.999
8 B 0.865 0.135 0.250
9 Na 0.600 0.400 0.505
10 B 0.932 0.068 0.250
11 Na 0.801 0.199 0.997
12 Na 0.801 0.199 0.503
13 Na 0.600 0.400 0.995
14 B 0.128 0.872 0.250
15 B 0.061 0.939 0.250
16 B 0.930 0.070 0.750
17 B 0.733 0.267 0.250
18 B 0.470 0.530 0.250
19 B 0.526 0.474 0.750
20 C 0.269 0.731 0.750
21 B 0.140 0.860 0.750
22 C 0.334 0.666 0.250
23 B 0.067 0.933 0.750
24 C 0.532 0.468 0.250
25 B 0.669 0.331 0.250
26 Na 0.400 0.600 0.000
27 Na 0.999 0.001 0.502
28 B 0.274 0.726 0.250
29 Na 0.200 0.800 0.501
30 C 0.866 0.134 0.750

Formation energy from the elements, eV per atom: 0.130
N(E_F), states/eV per cell: 7.2
E, eV per atom: -5.270
Magnetization, μB per atom: 0.00
Space-group type: Amm2, No. 38
Polymorph energy (0 for the lowest one), eV/atom: 0.018

***

Material: SrMg5Sn2
Method: DFT, PBE
State: optimized geometry

a b c (Å): 4.548 7.355 7.355
angles (deg): 70.94 71.99 71.99
Atoms (fractional coordinates):
1 Mg 0.357 0.825 0.461
2 Sn 0.738 0.762 0.762
3 Sr 0.000 0.000 0.000
4 Mg 0.000 0.500 0.500
5 Sn 0.262 0.238 0.238
6 Mg 0.643 0.539 0.175
7 Mg 0.643 0.175 0.539
8 Mg 0.357 0.461 0.825

Formation energy from the elements, eV per atom: -0.257
N(E_F), states/eV per cell: 2.6
E, eV per atom: -2.464
Magnetization, μB per atom: 0.00
Space-group type: Immm, No. 71